1.
VASP calculation (GGA-PBE) on a relaxed structure of AcTmMgTl.

For the volume, the calculation gives 492.9 Å³ per cell. As for the spin magnetization: 0.0 μB per cell. The calculated formation energy comes out at -16.9 kJ per mole of atoms.

The structure belongs to space group F-43m (No. 216); the cell edges are 7.899, 7.899 and 7.899 Å and the angles 90.00°, 90.00° and 90.00°. Symmetry generates all atoms from Ac at (0.000, 0.000, 0.000), Tm at (0.000, 0.000, 0.500), Mg at (0.250, 0.250, 0.750) and Tl at (0.250, 0.250, 0.250).

2.
VASP calculation (GGA-PBE) on a relaxed structure of Y4H2Se5.

The raw total energy comes out at -66.8 eV per formula unit. For the volume, the calculation gives 629.0 Å³ per cell. As for the spin magnetization: 0.0 μB per cell.

The structure belongs to space group C2/m (No. 12); the cell edges are 19.889, 4.047 and 8.039 Å and the angles 90.00°, 103.56° and 90.00°. Symmetry generates all atoms from Y at (0.038, 0.000, 0.262), Y at (0.170, 0.500, 0.546), H at (0.073, 0.500, 0.356), Se at (0.000, 0.500, 0.000), Se at (0.092, 0.000, 0.651) and Se at (0.187, 0.000, 0.302).

3.
VASP calculation (GGA-PBE) on a relaxed structure of Li6SiH12.

The raw total energy comes out at -57.7 eV per formula unit. For the volume, the calculation gives 449.1 Å³ per cell. As for the spin magnetization: 0.0 μB per cell.

The structure belongs to space group R-3 (No. 148, hexagonal axes); the cell edges are 8.0241, 8.0241 and 8.0545 Å and the angles 90.00°, 90.00° and 120.00°. Symmetry generates all atoms from Li at (0.0475, 0.2568, 0.1389), Si at (0.0000, 0.0000, 0.5000), H at (0.0445, 0.2396, 0.9077) and H at (0.0489, 0.1849, 0.3885).